[1]
# Ba2NbAl2 (PBE, optimized geometry)
# - Energy of formation: 0.85 eV per atom
# - Energy: -3.43 eV/atom
# - V: 280.4 Å³/cell
data_Ba2NbAl2
_chemical_formula_sum 'Ba4 Nb2 Al4'
_cell_length_a 4.321
_cell_length_b 4.321
_cell_length_c 15.017
_cell_angle_alpha 90.00
_cell_angle_beta 90.00
_cell_angle_gamma 90.00
_symmetry_space_group_name_H-M 'I 4/m m m'
_symmetry_Int_Tables_number 139
_symmetry_space_group_name_Hall '-I 4 2'
loop_
_atom_site_label
_atom_site_type_symbol
_atom_site_fract_x
_atom_site_fract_y
_atom_site_fract_z
Ba1 Ba 0.000 0.500 0.250
Nb1 Nb 0.000 0.000 0.000
Al1 Al 0.000 0.000 0.420

=====

[2]
# Ba2NbAl2 (PBE, optimized geometry)
# - Energy of formation: 0.40 eV per atom
# - Energy: -3.88 eV/atom
# - V: 309.8 Å³/cell
data_Ba2NbAl2
_chemical_formula_sum 'Ba4 Nb2 Al4'
_cell_length_a 7.443
_cell_length_b 7.443
_cell_length_c 5.592
_cell_angle_alpha 90.00
_cell_angle_beta 90.00
_cell_angle_gamma 90.00
_symmetry_space_group_name_H-M 'P 4/m b m'
_symmetry_Int_Tables_number 127
_symmetry_space_group_name_Hall '-P 4 2ab'
loop_
_atom_site_label
_atom_site_type_symbol
_atom_site_fract_x
_atom_site_fract_y
_atom_site_fract_z
Ba1 Ba 0.175 0.325 0.000
Nb1 Nb 0.000 0.000 0.500
Al1 Al 0.138 0.638 0.500

=====

[3]
# Ba2NbAl (PBE, optimized geometry)
# - Energy of formation: 0.91 eV per atom
# - Energy: -3.51 eV/atom
# - V: 540.9 Å³/cell
data_Ba2NbAl
_chemical_formula_sum 'Ba8 Nb4 Al4'
_cell_length_a 9.205
_cell_length_b 9.205
_cell_length_c 6.383
_cell_angle_alpha 90.00
_cell_angle_beta 90.00
_cell_angle_gamma 90.00
_symmetry_space_group_name_H-M 'I -4 2 d'
_symmetry_Int_Tables_number 122
_symmetry_space_group_name_Hall 'I -4 2bw'
loop_
_atom_site_label
_atom_site_type_symbol
_atom_site_fract_x
_atom_site_fract_y
_atom_site_fract_z
Ba1 Ba 0.236 0.250 0.125
Nb1 Nb 0.000 0.000 0.000
Al1 Al 0.000 0.000 0.500

=====

[4]
# BaNb2Al (PBE, optimized geometry)
# - Energy of formation: 0.84 eV per atom
# - Energy: -5.61 eV/atom
# - V: 462.6 Å³/cell
data_BaNb2Al
_chemical_formula_sum 'Ba4 Nb8 Al4'
_cell_length_a 4.792
_cell_length_b 4.792
_cell_length_c 20.143
_cell_angle_alpha 90.00
_cell_angle_beta 90.00
_cell_angle_gamma 90.00
_symmetry_space_group_name_H-M 'I -4 2 d'
_symmetry_Int_Tables_number 122
_symmetry_space_group_name_Hall 'I -4 2bw'
loop_
_atom_site_label
_atom_site_type_symbol
_atom_site_fract_x
_atom_site_fract_y
_atom_site_fract_z
Ba1 Ba 0.000 0.000 0.000
Nb1 Nb 0.079 0.750 0.625
Al1 Al 0.000 0.000 0.500

=====

[5]
# Ba3NbAl (PBE, optimized geometry)
# - Energy of formation: 0.87 eV per atom
# - Energy: -3.04 eV/atom
# - V: 219.3 Å³/cell
data_Ba3NbAl
_chemical_formula_sum 'Ba3 Nb1 Al1'
_cell_length_a 6.031
_cell_length_b 6.031
_cell_length_c 6.031
_cell_angle_alpha 90.00
_cell_angle_beta 90.00
_cell_angle_gamma 90.00
_symmetry_space_group_name_H-M 'P m -3 m'
_symmetry_Int_Tables_number 221
_symmetry_space_group_name_Hall '-P 4 2 3'
loop_
_atom_site_label
_atom_site_type_symbol
_atom_site_fract_x
_atom_site_fract_y
_atom_site_fract_z
Ba1 Ba 0.000 0.000 0.500
Nb1 Nb 0.000 0.000 0.000
Al1 Al 0.500 0.500 0.500

=====

[6]
# BaNbAlO4 (PBE, optimized geometry)
# - ΔE_f (raw): -2.158 eV per atom
# - Energy: -7.24 eV/atom
# - V: 621.1 Å³/cell
data_BaNbAlO4
_chemical_formula_sum 'Ba4 Nb4 Al4 O16'
_cell_length_a 8.532
_cell_length_b 8.532
_cell_length_c 8.532
_cell_angle_alpha 90.00
_cell_angle_beta 90.00
_cell_angle_gamma 90.00
_symmetry_space_group_name_H-M 'F -4 3 m'
_symmetry_Int_Tables_number 216
_symmetry_space_group_name_Hall 'F -4 2 3'
loop_
_atom_site_label
_atom_site_type_symbol
_atom_site_fract_x
_atom_site_fract_y
_atom_site_fract_z
Ba1 Ba 0.000 0.000 0.000
Nb1 Nb 0.250 0.250 0.750
Al1 Al 0.000 0.000 0.500
O1 O 0.120 0.120 0.620

=====

[7]
# Ba3NbAl2O9 (PBE, optimized geometry)
# - ΔE_f (raw): -2.732 eV per atom
# - Energy: -7.26 eV/atom
# - V: 194.2 Å³/cell
data_Ba3NbAl2O9
_chemical_formula_sum 'Ba3 Nb1 Al2 O9'
_cell_length_a 5.6685
_cell_length_b 5.6685
_cell_length_c 6.9775
_cell_angle_alpha 90.00
_cell_angle_beta 90.00
_cell_angle_gamma 120.00
_symmetry_space_group_name_H-M 'P -3 m 1'
_symmetry_Int_Tables_number 164
_symmetry_space_group_name_Hall '-P 3 2"'
loop_
_atom_site_label
_atom_site_type_symbol
_atom_site_fract_x
_atom_site_fract_y
_atom_site_fract_z
Ba1 Ba 0.0000 0.0000 0.0000
Ba2 Ba 0.3333 0.6667 0.6726
Nb1 Nb 0.0000 0.0000 0.5000
Al1 Al 0.3333 0.6667 0.1614
O1 O 0.0000 0.5000 0.0000
O2 O 0.1693 0.3386 0.3306

=====

[8]
# BaNb2AlO8 (PBE, optimized geometry)
# - ΔE_f (raw): -2.527 eV per atom
# - Energy: -7.98 eV/atom
# - V: 408.6 Å³/cell
data_BaNb2AlO8
_chemical_formula_sum 'Ba2 Nb4 Al2 O16'
_cell_length_a 9.172
_cell_length_b 5.826
_cell_length_c 7.647
_cell_angle_alpha 90.00
_cell_angle_beta 91.14
_cell_angle_gamma 90.00
_symmetry_space_group_name_H-M 'C 1 2/m 1'
_symmetry_Int_Tables_number 12
_symmetry_space_group_name_Hall '-C 2y'
loop_
_atom_site_label
_atom_site_type_symbol
_atom_site_fract_x
_atom_site_fract_y
_atom_site_fract_z
Ba1 Ba 0.000 0.000 0.000
Nb1 Nb 0.140 0.500 0.300
Al1 Al 0.000 0.000 0.500
O1 O 0.025 0.230 0.322
O2 O 0.199 0.000 0.547
O3 O 0.200 0.500 0.074

=====

[9]
# Ba2NbAlS6 (PBE, optimized geometry)
# - ΔE_f (raw): -1.397 eV per atom
# - Energy: -5.64 eV/atom
# - V: 1408.3 Å³/cell
data_Ba2NbAlS6
_chemical_formula_sum 'Ba12 Nb6 Al6 S36'
_cell_length_a 6.8837
_cell_length_b 6.8837
_cell_length_c 34.3179
_cell_angle_alpha 90.00
_cell_angle_beta 90.00
_cell_angle_gamma 120.00
_symmetry_space_group_name_H-M 'R -3 m'
_symmetry_Int_Tables_number 166
_symmetry_space_group_name_Hall '-R 3 2"'
loop_
_atom_site_label
_atom_site_type_symbol
_atom_site_fract_x
_atom_site_fract_y
_atom_site_fract_z
Ba1 Ba 0.0000 0.0000 0.1232
Ba2 Ba 0.0000 0.0000 0.2932
Nb1 Nb 0.0000 0.0000 0.4144
Al1 Al 0.0000 0.0000 0.0000
Al2 Al 0.0000 0.0000 0.5000
S1 S 0.0058 0.5029 0.1252
S2 S 0.0061 0.5030 0.7071

=====

[10]
# BaNbAl2Tc (PBE, optimized geometry)
# - Energy of formation: 0.51 eV per atom
# - Energy: -5.46 eV/atom
# - V: 132.9 Å³/cell
data_BaNbAl2Tc
_chemical_formula_sum 'Ba1 Nb1 Al2 Tc1'
_cell_length_a 5.247
_cell_length_b 5.247
_cell_length_c 4.827
_cell_angle_alpha 90.00
_cell_angle_beta 90.00
_cell_angle_gamma 90.00
_symmetry_space_group_name_H-M 'P 4/m m m'
_symmetry_Int_Tables_number 123
_symmetry_space_group_name_Hall '-P 4 2'
loop_
_atom_site_label
_atom_site_type_symbol
_atom_site_fract_x
_atom_site_fract_y
_atom_site_fract_z
Ba1 Ba 0.000 0.000 0.000
Nb1 Nb 0.500 0.500 0.500
Al1 Al 0.000 0.500 0.500
Tc1 Tc 0.500 0.500 0.000

=====

[11]
# Ba2ZrNbAl (PBE, optimized geometry)
# - Energy of formation: 1.25 eV per atom
# - Energy: -3.99 eV/atom
# - V: 191.6 Å³/cell
data_Ba2ZrNbAl
_chemical_formula_sum 'Ba2 Zr1 Nb1 Al1'
_cell_length_a 6.166
_cell_length_b 6.166
_cell_length_c 5.039
_cell_angle_alpha 90.00
_cell_angle_beta 90.00
_cell_angle_gamma 90.00
_symmetry_space_group_name_H-M 'P 4/m m m'
_symmetry_Int_Tables_number 123
_symmetry_space_group_name_Hall '-P 4 2'
loop_
_atom_site_label
_atom_site_type_symbol
_atom_site_fract_x
_atom_site_fract_y
_atom_site_fract_z
Ba1 Ba 0.000 0.500 0.000
Zr1 Zr 0.000 0.000 0.500
Nb1 Nb 0.500 0.500 0.500
Al1 Al 0.500 0.500 0.000

=====

[12]
# BaNdAl (PBE, optimized geometry)
# - Energy of formation: -0.07 eV per atom
# - Energy: -3.55 eV/atom
# - V: 218.8 Å³/cell
data_BaNdAl
_chemical_formula_sum 'Ba2 Nd2 Al2'
_cell_length_a 3.968
_cell_length_b 3.968
_cell_length_c 13.897
_cell_angle_alpha 90.00
_cell_angle_beta 90.00
_cell_angle_gamma 90.00
_symmetry_space_group_name_H-M 'I 4 m m'
_symmetry_Int_Tables_number 107
_symmetry_space_group_name_Hall 'I 4 -2'
loop_
_atom_site_label
_atom_site_type_symbol
_atom_site_fract_x
_atom_site_fract_y
_atom_site_fract_z
Ba1 Ba 0.000 0.000 0.000
Nd1 Nd 0.000 0.000 0.268
Al1 Al 0.000 0.000 0.664

=====

[13]
# BaNd2Al (PBE, optimized geometry)
# - Energy of formation: 0.11 eV per atom
# - Energy: -3.69 eV/atom
# - V: 444.2 Å³/cell
data_BaNd2Al
_chemical_formula_sum 'Ba3 Nd6 Al3'
_cell_length_a 3.7890
_cell_length_b 3.7890
_cell_length_c 35.7311
_cell_angle_alpha 90.00
_cell_angle_beta 90.00
_cell_angle_gamma 120.00
_symmetry_space_group_name_H-M 'R -3 m'
_symmetry_Int_Tables_number 166
_symmetry_space_group_name_Hall '-R 3 2"'
loop_
_atom_site_label
_atom_site_type_symbol
_atom_site_fract_x
_atom_site_fract_y
_atom_site_fract_z
Ba1 Ba 0.0000 0.0000 0.0000
Nd1 Nd 0.0000 0.0000 0.1055
Al1 Al 0.0000 0.0000 0.5000

=====

[14]
# BaNd2Al (PBE, optimized geometry)
# - Energy of formation: -0.06 eV per atom
# - Energy: -3.86 eV/atom
# - V: 142.8 Å³/cell
data_BaNd2Al
_chemical_formula_sum 'Ba1 Nd2 Al1'
_cell_length_a 3.787
_cell_length_b 3.787
_cell_length_c 9.956
_cell_angle_alpha 90.00
_cell_angle_beta 90.00
_cell_angle_gamma 90.00
_symmetry_space_group_name_H-M 'P 4/m m m'
_symmetry_Int_Tables_number 123
_symmetry_space_group_name_Hall '-P 4 2'
loop_
_atom_site_label
_atom_site_type_symbol
_atom_site_fract_x
_atom_site_fract_y
_atom_site_fract_z
Ba1 Ba 0.000 0.000 0.000
Nd1 Nd 0.500 0.500 0.322
Al1 Al 0.000 0.000 0.500

=====

[15]
# Ba6Nd2Al4O15 (PBE, optimized geometry)
# - ΔE_f (raw): -2.945 eV per atom
# - Energy: -7.03 eV/atom
# - V: 1701.2 Å³/cell
data_Ba6Nd2Al4O15
_chemical_formula_sum 'Ba24 Nd8 Al16 O60'
_cell_length_a 11.810
_cell_length_b 20.249
_cell_length_c 7.114
_cell_angle_alpha 90.00
_cell_angle_beta 90.63
_cell_angle_gamma 90.00
_symmetry_space_group_name_H-M 'C 1 c 1'
_symmetry_Int_Tables_number 9
_symmetry_space_group_name_Hall 'C -2yc'
loop_
_atom_site_label
_atom_site_type_symbol
_atom_site_fract_x
_atom_site_fract_y
_atom_site_fract_z
Ba1 Ba 0.000 0.001 0.000
Ba2 Ba 0.002 0.333 0.008
Ba3 Ba 0.006 0.174 0.324
Ba4 Ba 0.222 0.261 0.650
Ba5 Ba 0.239 0.413 0.322
Ba6 Ba 0.258 0.085 0.814
Nd1 Nd 0.001 0.481 0.645
Nd2 Nd 0.283 0.241 0.148
Al1 Al 0.000 0.337 0.466
Al2 Al 0.004 0.182 0.817
Al3 Al 0.226 0.411 0.827
Al4 Al 0.277 0.089 0.307
O1 O 0.001 0.417 0.327
O2 O 0.022 0.104 0.709
O3 O 0.116 0.297 0.323
O4 O 0.120 0.199 0.973
O5 O 0.122 0.382 0.650
O6 O 0.137 0.466 0.953
O7 O 0.159 0.045 0.222
O8 O 0.240 0.164 0.415
O9 O 0.262 0.342 0.971
O10 O 0.347 0.450 0.733
O11 O 0.367 0.037 0.447
O12 O 0.372 0.309 0.424
O13 O 0.378 0.119 0.136
O14 O 0.382 0.205 0.842
O15 O 0.494 0.248 0.153

=====

[16]
# BaNdAlO4 (PBE, optimized geometry)
# - ΔE_f (raw): -3.021 eV per atom
# - Energy: -7.35 eV/atom
# - V: 235.0 Å³/cell
data_BaNdAlO4
_chemical_formula_sum 'Ba2 Nd2 Al2 O8'
_cell_length_a 5.793
_cell_length_b 5.869
_cell_length_c 7.267
_cell_angle_alpha 90.00
_cell_angle_beta 107.99
_cell_angle_gamma 90.00
_symmetry_space_group_name_H-M 'P 1 21/m 1'
_symmetry_Int_Tables_number 11
_symmetry_space_group_name_Hall '-P 2yb'
loop_
_atom_site_label
_atom_site_type_symbol
_atom_site_fract_x
_atom_site_fract_y
_atom_site_fract_z
Ba1 Ba 0.204 0.250 0.426
Nd1 Nd 0.297 0.250 0.959
Al1 Al 0.250 0.750 0.177
O1 O 0.055 0.750 0.936
O2 O 0.060 0.750 0.327
O3 O 0.459 0.518 0.209

=====

[17]
# Ba3NdAl2O8 (PBE, optimized geometry)
# - ΔE_f (raw): -2.789 eV per atom
# - Energy: -6.91 eV/atom
# - V: 241.7 Å³/cell
data_Ba3NdAl2O8
_chemical_formula_sum 'Ba3 Nd1 Al2 O8'
_cell_length_a 6.0353
_cell_length_b 6.0353
_cell_length_c 7.6629
_cell_angle_alpha 90.00
_cell_angle_beta 90.00
_cell_angle_gamma 120.00
_symmetry_space_group_name_H-M 'P -3 m 1'
_symmetry_Int_Tables_number 164
_symmetry_space_group_name_Hall '-P 3 2"'
loop_
_atom_site_label
_atom_site_type_symbol
_atom_site_fract_x
_atom_site_fract_y
_atom_site_fract_z
Ba1 Ba 0.0000 0.0000 0.0000
Ba2 Ba 0.3333 0.6667 0.6691
Nd1 Nd 0.0000 0.0000 0.5000
Al1 Al 0.3333 0.6667 0.2233
O1 O 0.1755 0.3509 0.3097
O2 O 0.3333 0.6667 0.9942

=====

[18]
# Ba2NdAlO5 (PBE, optimized geometry)
# - ΔE_f (raw): -2.960 eV per atom
# - Energy: -7.09 eV/atom
# - V: 313.3 Å³/cell
data_Ba2NdAlO5
_chemical_formula_sum 'Ba4 Nd2 Al2 O10'
_cell_length_a 7.476
_cell_length_b 6.191
_cell_length_c 7.657
_cell_angle_alpha 90.00
_cell_angle_beta 117.85
_cell_angle_gamma 90.00
_symmetry_space_group_name_H-M 'P 1 21 1'
_symmetry_Int_Tables_number 4
_symmetry_space_group_name_Hall 'P 2yb'
loop_
_atom_site_label
_atom_site_type_symbol
_atom_site_fract_x
_atom_site_fract_y
_atom_site_fract_z
Ba1 Ba 0.138 0.000 0.390
Ba2 Ba 0.308 0.502 0.146
Nd1 Nd 0.397 0.497 0.662
Al1 Al 0.172 0.983 0.835
O1 O 0.090 0.520 0.341
O2 O 0.231 0.712 0.796
O3 O 0.236 0.019 0.089
O4 O 0.310 0.171 0.764
O5 O 0.495 0.766 0.513

=====

[19]
# Ba2NdAlO5 (PBE, optimized geometry)
# - ΔE_f (raw): -2.846 eV per atom
# - Energy: -6.97 eV/atom
# - V: 635.4 Å³/cell
data_Ba2NdAlO5
_chemical_formula_sum 'Ba8 Nd4 Al4 O20'
_cell_length_a 3.525
_cell_length_b 15.977
_cell_length_c 11.282
_cell_angle_alpha 90.00
_cell_angle_beta 90.00
_cell_angle_gamma 90.00
_symmetry_space_group_name_H-M 'C m c 21'
_symmetry_Int_Tables_number 36
_symmetry_space_group_name_Hall 'C 2c -2'
loop_
_atom_site_label
_atom_site_type_symbol
_atom_site_fract_x
_atom_site_fract_y
_atom_site_fract_z
Ba1 Ba 0.000 0.108 0.000
Ba2 Ba 0.000 0.126 0.648
Nd1 Nd 0.000 0.205 0.351
Al1 Al 0.000 0.451 0.749
O1 O 0.000 0.036 0.313
O2 O 0.000 0.294 0.987
O3 O 0.000 0.340 0.717
O4 O 0.000 0.345 0.329
O5 O 0.000 0.498 0.111

=====

[20]
# Ba2NdAl2O7 (PBE, optimized geometry)
# - ΔE_f (raw): -2.821 eV per atom
# - Energy: -7.05 eV/atom
# - V: 318.4 Å³/cell
data_Ba2NdAl2O7
_chemical_formula_sum 'Ba4 Nd2 Al4 O14'
_cell_length_a 3.900
_cell_length_b 3.900
_cell_length_c 20.938
_cell_angle_alpha 90.00
_cell_angle_beta 90.00
_cell_angle_gamma 90.00
_symmetry_space_group_name_H-M 'I 4/m m m'
_symmetry_Int_Tables_number 139
_symmetry_space_group_name_Hall '-I 4 2'
loop_
_atom_site_label
_atom_site_type_symbol
_atom_site_fract_x
_atom_site_fract_y
_atom_site_fract_z
Ba1 Ba 0.000 0.000 0.181
Nd1 Nd 0.000 0.000 0.000
Al1 Al 0.000 0.000 0.410
O1 O 0.000 0.000 0.318
O2 O 0.000 0.000 0.500
O3 O 0.000 0.500 0.084

=====

Total moment: 0.00; 1.73; 2.47; 0.00; 0.00; 0.33; 1.01; 1.07; 0.00; 1.49; 2.95; 0.00; 0.00; 0.00; 0.08; 0.00; 1.09; 0.00; 0.00; 0.84 (μB/f.u.)